(1)
Entry from Alexandria: an optimized crystal structure of PmYPb (GGA-PBE).

**Fermi-level density of states**: 15.6 states/eV per cell
**Crystal system**: cubic
**Magnetic moment**: 0.06 μB per formula unit

Cell: 7.437 7.437 7.437 Å, 90.00 90.00 90.00°
Space group F-43m (No. 216)
Asymmetric unit:
Pm: 0.000 0.000 0.000 (multiplicity 4)
Y: 0.000 0.000 0.500 (multiplicity 4)
Pb: 0.250 0.250 0.750 (multiplicity 4)

---

(2)
Entry from Alexandria: an optimized crystal structure of PmYPb (GGA-PBE).

**Fermi-level density of states**: 2.9 states/eV per cell
**Crystal system**: trigonal
**Magnetic moment**: 0.00 μB per formula unit

Cell: 5.2432 5.2432 3.9752 Å, 90.00 90.00 120.00°
Space group P3m1 (No. 156)
Asymmetric unit:
Pm: 0.0000 0.0000 0.0000 (multiplicity 1)
Y: 0.3333 0.6667 0.5411 (multiplicity 1)
Pb: 0.6667 0.3333 0.3510 (multiplicity 1)

---

(3)
Entry from Alexandria: an optimized crystal structure of PmYPb (GGA-PBE).

**Fermi-level density of states**: 7.1 states/eV per cell
**Crystal system**: tetragonal
**Magnetic moment**: 1.31 μB per formula unit

Cell: 4.155 4.155 10.408 Å, 90.00 90.00 90.00°
Space group I4mm (No. 107)
Asymmetric unit:
Pm: 0.000 0.000 0.000 (multiplicity 2)
Y: 0.000 0.000 0.315 (multiplicity 2)
Pb: 0.000 0.000 0.662 (multiplicity 2)

---

The computed energies, referenced to the most stable structure and given in meV/atom, are (1) 50; (2) 67; (3) 0.

---

(1)
Entry from Alexandria: an optimized crystal structure of Pm2YPb (GGA-PBE).

**Fermi-level density of states**: 12.3 states/eV per cell
**Crystal system**: trigonal
**Magnetic moment**: 0.00 μB per formula unit

Cell: 3.5936 3.5936 36.8433 Å, 90.00 90.00 120.00°
Space group R-3m (No. 166, hexagonal axes)
Asymmetric unit:
Pm: 0.0000 0.0000 0.0880 (multiplicity 6)
Y: 0.0000 0.0000 0.5000 (multiplicity 3)
Pb: 0.0000 0.0000 0.0000 (multiplicity 3)

---

(2)
Entry from Alexandria: an optimized crystal structure of Pm2YPb (GGA-PBE).

**Fermi-level density of states**: 13.3 states/eV per cell
**Crystal system**: trigonal
**Magnetic moment**: 0.26 μB per formula unit

Cell: 3.6665 3.6665 33.6312 Å, 90.00 90.00 120.00°
Space group R3m (No. 160, hexagonal axes)
Asymmetric unit:
Pm: 0.0000 0.0000 0.0000 (multiplicity 3)
Pm: 0.0000 0.0000 0.1723 (multiplicity 3)
Y: 0.0000 0.0000 0.4194 (multiplicity 3)
Pb: 0.0000 0.0000 0.5859 (multiplicity 3)

---

(3)
Entry from Alexandria: an optimized crystal structure of Pm2YPb (GGA-PBE).

**Fermi-level density of states**: 31.3 states/eV per cell
**Crystal system**: cubic
**Magnetic moment**: 0.37 μB per formula unit

Cell: 7.887 7.887 7.887 Å, 90.00 90.00 90.00°
Space group Fm-3m (No. 225)
Asymmetric unit:
Pm: 0.250 0.250 0.250 (multiplicity 8)
Y: 0.000 0.000 0.000 (multiplicity 4)
Pb: 0.000 0.000 0.500 (multiplicity 4)

---

(4)
Entry from Alexandria: an optimized crystal structure of Pm2YPb (GGA-PBE).

**Fermi-level density of states**: 4.8 states/eV per cell
**Crystal system**: tetragonal
**Magnetic moment**: 0.00 μB per formula unit

Cell: 4.885 4.885 5.036 Å, 90.00 90.00 90.00°
Space group P4/mmm (No. 123)
Asymmetric unit:
Pm: 0.000 0.500 0.000 (multiplicity 2)
Y: 0.000 0.000 0.500 (multiplicity 1)
Pb: 0.500 0.500 0.500 (multiplicity 1)

---

The computed energies, referenced to the most stable structure and given in meV/atom, are (1) 358; (2) 164; (3) 185; (4) 0.

---

(1)
Entry from Alexandria: an optimized crystal structure of Pm3YPb2 (GGA-PBE).

**Fermi-level density of states**: 6.4 states/eV per cell
**Crystal system**: tetragonal
**Magnetic moment**: 0.00 μB per formula unit

Cell: 4.650 4.650 8.804 Å, 90.00 90.00 90.00°
Space group P-4m2 (No. 115)
Asymmetric unit:
Pm: 0.000 0.000 0.000 (multiplicity 1)
Pm: 0.000 0.500 0.654 (multiplicity 2)
Y: 0.500 0.500 0.000 (multiplicity 1)
Pb: 0.000 0.500 0.281 (multiplicity 2)

---

(2)
Entry from Alexandria: an optimized crystal structure of Pm3YPb2 (GGA-PBE).

**Fermi-level density of states**: 13.7 states/eV per cell
**Crystal system**: orthorhombic
**Magnetic moment**: 0.00 μB per formula unit

Cell: 4.993 16.313 4.497 Å, 90.00 90.00 90.00°
Space group Cmmm (No. 65)
Asymmetric unit:
Pm: 0.000 0.000 0.000 (multiplicity 2)
Pm: 0.000 0.323 0.000 (multiplicity 4)
Y: 0.000 0.500 0.500 (multiplicity 2)
Pb: 0.000 0.149 0.500 (multiplicity 4)

---

The computed energies, referenced to the most stable structure and given in meV/atom, are (1) 0; (2) 45.

---

(1)
Entry from Alexandria: an optimized crystal structure of Pm4ZnPb2 (GGA-PBE).

**Fermi-level density of states**: 13.2 states/eV per cell
**Crystal system**: tetragonal
**Magnetic moment**: 0.56 μB per formula unit

Cell: 5.278 5.278 16.937 Å, 90.00 90.00 90.00°
Space group I4/mmm (No. 139)
Asymmetric unit:
Pm: 0.000 0.000 0.178 (multiplicity 4)
Pm: 0.000 0.500 0.000 (multiplicity 4)
Zn: 0.000 0.000 0.000 (multiplicity 2)
Pb: 0.000 0.000 0.366 (multiplicity 4)

---

(2)
Entry from Alexandria: an optimized crystal structure of Pm4ZnPb2 (GGA-PBE).

**Fermi-level density of states**: 16.4 states/eV per cell
**Crystal system**: monoclinic
**Magnetic moment**: 0.00 μB per formula unit

Cell: 5.936 6.658 10.613 Å, 90.00 99.47 90.00°
Space group P2_1/m (No. 11)
Asymmetric unit:
Pm: 0.157 0.250 0.113 (multiplicity 2)
Pm: 0.252 0.750 0.439 (multiplicity 2)
Pm: 0.304 0.011 0.734 (multiplicity 4)
Zn: 0.078 0.750 0.169 (multiplicity 2)
Pb: 0.215 0.250 0.427 (multiplicity 2)
Pb: 0.386 0.750 0.010 (multiplicity 2)

---

The computed energies, referenced to the most stable structure and given in meV/atom, are (1) 176; (2) 0.

---

(1)
Entry from Alexandria: an optimized crystal structure of Pm4Zn3Pb (GGA-PBE).

**Fermi-level density of states**: 8.5 states/eV per cell
**Crystal system**: orthorhombic
**Magnetic moment**: 0.46 μB per formula unit

Cell: 3.925 4.617 11.851 Å, 90.00 90.00 90.00°
Space group Pmm2 (No. 25)
Asymmetric unit:
Pm: 0.000 0.000 0.000 (multiplicity 1)
Pm: 0.000 0.500 0.281 (multiplicity 1)
Pm: 0.500 0.000 0.478 (multiplicity 1)
Pm: 0.500 0.500 0.797 (multiplicity 1)
Zn: 0.000 0.500 0.554 (multiplicity 1)
Zn: 0.500 0.000 0.206 (multiplicity 1)
Zn: 0.500 0.500 0.069 (multiplicity 1)
Pb: 0.000 0.000 0.709 (multiplicity 1)

---

(2)
Entry from Alexandria: an optimized crystal structure of Pm4Zn3Pb (GGA-PBE).

**Fermi-level density of states**: 8.3 states/eV per cell
**Crystal system**: tetragonal
**Magnetic moment**: 0.00 μB per formula unit

Cell: 5.253 5.253 7.554 Å, 90.00 90.00 90.00°
Space group P4/mmm (No. 123)
Asymmetric unit:
Pm: 0.000 0.500 0.236 (multiplicity 4)
Zn: 0.000 0.000 0.000 (multiplicity 1)
Zn: 0.000 0.000 0.500 (multiplicity 1)
Zn: 0.500 0.500 0.000 (multiplicity 1)
Pb: 0.500 0.500 0.500 (multiplicity 1)

---

The computed energies, referenced to the most stable structure and given in meV/atom, are (1) 55; (2) 0.

---

(1)
Entry from Alexandria: an optimized crystal structure of PmZnPb (GGA-PBE).

**Fermi-level density of states**: 1.3 states/eV per cell
**Crystal system**: trigonal
**Magnetic moment**: 0.00 μB per formula unit

Cell: 4.5915 4.5915 4.2806 Å, 90.00 90.00 120.00°
Space group P3m1 (No. 156)
Asymmetric unit:
Pm: 0.0000 0.0000 0.0000 (multiplicity 1)
Zn: 0.6667 0.3333 0.3728 (multiplicity 1)
Pb: 0.3333 0.6667 0.5423 (multiplicity 1)

---

(2)
Entry from Alexandria: an optimized crystal structure of PmZnPb (GGA-PBE).

**Fermi-level density of states**: 8.0 states/eV per cell
**Crystal system**: monoclinic
**Magnetic moment**: 0.00 μB per formula unit

Cell: 6.310 4.787 10.872 Å, 90.00 101.91 90.00°
Space group C2/m (No. 12)
Asymmetric unit:
Pm: 0.146 0.000 0.211 (multiplicity 4)
Zn: 0.197 0.500 0.037 (multiplicity 4)
Pb: 0.219 0.500 0.408 (multiplicity 4)

---

The computed energies, referenced to the most stable structure and given in meV/atom, are (1) 0; (2) 162.

---

(1)
Entry from Alexandria: an optimized crystal structure of Pm2ZnPb (GGA-PBE).

**Fermi-level density of states**: 2.2 states/eV per cell
**Crystal system**: tetragonal
**Magnetic moment**: 0.00 μB per formula unit

Cell: 3.764 3.764 7.666 Å, 90.00 90.00 90.00°
Space group P4/mmm (No. 123)
Asymmetric unit:
Pm: 0.000 0.000 0.229 (multiplicity 2)
Zn: 0.500 0.500 0.000 (multiplicity 1)
Pb: 0.500 0.500 0.500 (multiplicity 1)

---

(2)
Entry from Alexandria: an optimized crystal structure of Pm2ZnPb (GGA-PBE).

**Fermi-level density of states**: 13.7 states/eV per cell
**Crystal system**: cubic
**Magnetic moment**: 0.00 μB per formula unit

Cell: 7.591 7.591 7.591 Å, 90.00 90.00 90.00°
Space group Fm-3m (No. 225)
Asymmetric unit:
Pm: 0.250 0.250 0.250 (multiplicity 8)
Zn: 0.000 0.000 0.000 (multiplicity 4)
Pb: 0.000 0.000 0.500 (multiplicity 4)

---

The computed energies, referenced to the most stable structure and given in meV/atom, are (1) 0; (2) 6.

---

(1)
Entry from Alexandria: an optimized crystal structure of Pm2ZrPb (GGA-PBE).

**Fermi-level density of states**: 12.9 states/eV per cell
**Crystal system**: trigonal
**Magnetic moment**: 0.00 μB per formula unit

Cell: 3.4701 3.4701 35.8827 Å, 90.00 90.00 120.00°
Space group R-3m (No. 166, hexagonal axes)
Asymmetric unit:
Pm: 0.0000 0.0000 0.0921 (multiplicity 6)
Zr: 0.0000 0.0000 0.5000 (multiplicity 3)
Pb: 0.0000 0.0000 0.0000 (multiplicity 3)

---

(2)
Entry from Alexandria: an optimized crystal structure of Pm2ZrPb (GGA-PBE).

**Fermi-level density of states**: 3.7 states/eV per cell
**Crystal system**: tetragonal
**Magnetic moment**: 0.00 μB per formula unit

Cell: 4.808 4.808 4.799 Å, 90.00 90.00 90.00°
Space group P4/mmm (No. 123)
Asymmetric unit:
Pm: 0.000 0.500 0.000 (multiplicity 2)
Zr: 0.000 0.000 0.500 (multiplicity 1)
Pb: 0.500 0.500 0.500 (multiplicity 1)

---

The computed energies, referenced to the most stable structure and given in meV/atom, are (1) 291; (2) 0.

---

(1)
Entry from Alexandria: an optimized crystal structure of PrPb4 (GGA-PBE).

**Fermi-level density of states**: 5.2 states/eV per cell
**Crystal system**: cubic
**Magnetic moment**: 0.00 μB per formula unit

Cell: 6.008 6.008 6.008 Å, 90.00 90.00 90.00°
Space group Pm-3m (No. 221)
Asymmetric unit:
Pr: 0.000 0.000 0.000 (multiplicity 1)
Pb: 0.000 0.000 0.500 (multiplicity 3)
Pb: 0.500 0.500 0.500 (multiplicity 1)

---

(2)
Entry from Alexandria: an optimized crystal structure of PrPb4 (GGA-PBE).

**Fermi-level density of states**: 10.1 states/eV per cell
**Crystal system**: orthorhombic
**Magnetic moment**: 0.00 μB per formula unit

Cell: 4.921 6.783 18.653 Å, 90.00 90.00 90.00°
Space group Imma (No. 74)
Asymmetric unit:
Pr: 0.000 0.250 0.092 (multiplicity 4)
Pb: 0.000 0.000 0.500 (multiplicity 4)
Pb: 0.000 0.002 0.692 (multiplicity 8)
Pb: 0.000 0.250 0.898 (multiplicity 4)

---

The computed energies, referenced to the most stable structure and given in meV/atom, are (1) 763; (2) 0.

---

(1)
Entry from Alexandria: an optimized crystal structure of Pr5Pb2 (GGA-PBE).

**Fermi-level density of states**: 28.8 states/eV per cell
**Crystal system**: monoclinic
**Magnetic moment**: 0.00 μB per formula unit

Cell: 16.589 6.146 9.223 Å, 90.00 96.46 90.00°
Space group C2/c (No. 15)
Asymmetric unit:
Pr: 0.000 0.242 0.250 (multiplicity 4)
Pr: 0.119 0.307 0.947 (multiplicity 8)
Pr: 0.221 0.115 0.315 (multiplicity 8)
Pb: 0.089 0.198 0.593 (multiplicity 8)

---

(2)
Entry from Alexandria: an optimized crystal structure of Pr5Pb2 (GGA-PBE).

**Fermi-level density of states**: 37.2 states/eV per cell
**Crystal system**: orthorhombic
**Magnetic moment**: 0.00 μB per formula unit

Cell: 4.796 41.844 4.739 Å, 90.00 90.00 90.00°
Space group Cmcm (No. 63)
Asymmetric unit:
Pr: 0.000 0.033 0.250 (multiplicity 4)
Pr: 0.000 0.175 0.750 (multiplicity 4)
Pr: 0.000 0.250 0.250 (multiplicity 4)
Pr: 0.000 0.389 0.750 (multiplicity 4)
Pr: 0.000 0.461 0.250 (multiplicity 4)
Pb: 0.000 0.096 0.750 (multiplicity 4)
Pb: 0.000 0.310 0.750 (multiplicity 4)

---

The computed energies, referenced to the most stable structure and given in meV/atom, are (1) 22; (2) 0.

---

(1)
Entry from Alexandria: an optimized crystal structure of Pr5Pb3 (GGA-PBE).

**Fermi-level density of states**: 17.5 states/eV per cell
**Crystal system**: hexagonal
**Magnetic moment**: 0.00 μB per formula unit

Cell: 9.4839 9.4839 6.9504 Å, 90.00 90.00 120.00°
Space group P6_3/mcm (No. 193)
Asymmetric unit:
Pr: 0.0000 0.2404 0.2500 (multiplicity 6)
Pr: 0.3333 0.6667 0.0000 (multiplicity 4)
Pb: 0.0000 0.3936 0.7500 (multiplicity 6)

---

(2)
Entry from Alexandria: an optimized crystal structure of Pr5Pb3 (GGA-PBE).

**Fermi-level density of states**: 35.9 states/eV per cell
**Crystal system**: tetragonal
**Magnetic moment**: 1.90 μB per formula unit

Cell: 8.578 8.578 14.447 Å, 90.00 90.00 90.00°
Space group I4/mcm (No. 140)
Asymmetric unit:
Pr: 0.000 0.000 0.000 (multiplicity 4)
Pr: 0.161 0.339 0.151 (multiplicity 16)
Pb: 0.000 0.000 0.250 (multiplicity 4)
Pb: 0.140 0.360 0.500 (multiplicity 8)

---

The computed energies, referenced to the most stable structure and given in meV/atom, are (1) 0; (2) 42.